(1)
Cu2Ag5 GGA-PBE optimized geometry; SG = No. 12
1.0
4.7144 -1.4330 0.0000
4.7144 1.4330 0.0000
-0.6802 0.0000 8.3821
Cu Ag
2 5
Direct
0.2147 0.2147 0.3725
0.7853 0.7853 0.6275
0.0804 0.0804 0.7801
0.3582 0.3582 0.9150
0.5000 0.5000 0.5000
0.6418 0.6418 0.0850
0.9196 0.9196 0.2199

---

(2)
Cu2Ag5 GGA-PBE optimized geometry; SG = No. 12
1.0
4.7652 -1.4403 0.0000
4.7652 1.4403 0.0000
-0.4881 0.0000 8.2939
Cu Ag
2 5
Direct
0.1597 0.1597 0.0683
0.8403 0.8403 0.9317
0.0000 0.0000 0.5000
0.2794 0.2794 0.6547
0.4422 0.4422 0.1881
0.5578 0.5578 0.8119
0.7206 0.7206 0.3453

---

In meV/atom, relative to the most stable structure: (1) 22; (2) 0.

---

(1)
Cu2Ag5 GGA-PBE optimized geometry; SG = No. 12
1.0
4.7494 -1.4403 0.0000
4.7494 1.4403 0.0000
-0.5709 0.0000 8.3589
Cu Ag
2 5
Direct
0.0679 0.0679 0.2842
0.9321 0.9321 0.7158
0.2207 0.2207 0.8490
0.3619 0.3619 0.4352
0.5000 0.5000 0.0000
0.6381 0.6381 0.5648
0.7793 0.7793 0.1510

---

(2)
Cu2Ag5 GGA-PBE optimized geometry; SG = No. 139
1.0
-1.4402 1.4402 13.6707
1.4402 -1.4402 13.6707
1.4402 1.4402 -13.6707
Cu Ag
2 5
Direct
0.0666 0.0666 0.0000
0.9334 0.9334 0.0000
0.2115 0.2115 0.0000
0.3668 0.3668 0.0000
0.5000 0.5000 0.0000
0.6332 0.6332 0.0000
0.7885 0.7885 0.0000

---

In meV/atom, relative to the most stable structure: (1) 19; (2) 0.

---

(1)
Cu2Ag5 GGA-PBE optimized geometry; SG = No. 12
1.0
5.9130 -1.4411 0.0000
5.9130 1.4411 0.0000
-2.2304 0.0000 6.6452
Cu Ag
2 5
Direct
0.2126 0.2126 0.1208
0.7874 0.7874 0.8792
0.0851 0.0851 0.7141
0.3554 0.3554 0.5965
0.5000 0.5000 0.0000
0.6446 0.6446 0.4035
0.9149 0.9149 0.2859

---

(2)
Cu2Ag5 GGA-PBE optimized geometry; SG = No. 166
1.0
1.4291 0.8251 16.2181
-1.4291 0.8251 16.2181
0.0000 -1.6502 16.2181
Cu Ag
2 5
Direct
0.2121 0.2121 0.2121
0.7879 0.7879 0.7879
0.0760 0.0760 0.0760
0.3586 0.3586 0.3586
0.5000 0.5000 0.5000
0.6414 0.6414 0.6414
0.9240 0.9240 0.9240

---

(3)
Cu2Ag5 GGA-PBE optimized geometry; SG = No. 139
1.0
-1.4451 1.4451 13.5904
1.4451 -1.4451 13.5904
1.4451 1.4451 -13.5904
Cu Ag
2 5
Direct
0.2236 0.2236 0.0000
0.7764 0.7764 0.0000
0.0786 0.0786 0.0000
0.3432 0.3432 0.0000
0.5000 0.5000 0.0000
0.6568 0.6568 0.0000
0.9214 0.9214 0.0000

---

(4)
Cu2Ag5 GGA-PBE optimized geometry; SG = No. 12
1.0
4.5350 -2.0089 0.0000
4.5350 2.0089 0.0000
-0.7446 0.0000 6.2505
Cu Ag
2 5
Direct
0.1403 0.1403 0.4326
0.8597 0.8597 0.5674
0.0000 0.0000 0.0000
0.2899 0.2899 0.8413
0.4216 0.4216 0.2989
0.5784 0.5784 0.7011
0.7101 0.7101 0.1587

---

In meV/atom, relative to the most stable structure: (1) 30; (2) 40; (3) 0; (4) 35.

---

(1)
Cu2Ag5 GGA-PBE optimized geometry; SG = No. 12
1.0
5.8168 -1.4498 0.0000
5.8168 1.4498 0.0000
-2.0944 0.0000 6.7454
Cu Ag
2 5
Direct
0.2113 0.2113 0.1146
0.7887 0.7887 0.8854
0.0859 0.0859 0.7082
0.3540 0.3540 0.6041
0.5000 0.5000 0.0000
0.6460 0.6460 0.3959
0.9141 0.9141 0.2918

---

(2)
Cu2Ag5 GGA-PBE optimized geometry; SG = No. 71
1.0
-1.4403 1.9535 10.1593
1.4403 -1.9535 10.1593
1.4403 1.9535 -10.1593
Cu Ag
2 5
Direct
0.2185 0.2185 0.0000
0.7815 0.7815 0.0000
0.0765 0.0765 0.0000
0.3473 0.3473 0.0000
0.5000 0.5000 0.0000
0.6527 0.6527 0.0000
0.9235 0.9235 0.0000

---

(3)
Cu2Ag5 GGA-PBE optimized geometry; SG = No. 12
1.0
4.7470 -1.4422 0.0000
4.7470 1.4422 0.0000
-0.5691 0.0000 8.3731
Cu Ag
2 5
Direct
0.2148 0.2148 0.3727
0.7852 0.7852 0.6273
0.0816 0.0816 0.7801
0.3583 0.3583 0.9141
0.5000 0.5000 0.5000
0.6417 0.6417 0.0859
0.9184 0.9184 0.2199

---

(4)
Cu2Ag5 GGA-PBE optimized geometry; SG = No. 139
1.0
-1.4437 1.4437 13.6551
1.4437 -1.4437 13.6551
1.4437 1.4437 -13.6551
Cu Ag
2 5
Direct
0.2231 0.2231 0.0000
0.7769 0.7769 0.0000
0.0777 0.0777 0.0000
0.3444 0.3444 0.0000
0.5000 0.5000 0.0000
0.6556 0.6556 0.0000
0.9223 0.9223 0.0000

---

In meV/atom, relative to the most stable structure: (1) 26; (2) 31; (3) 37; (4) 0.

---

(1)
Cu2Ag5 GGA-PBE optimized geometry; SG = No. 71
1.0
-1.4398 1.9511 10.1584
1.4398 -1.9511 10.1584
1.4398 1.9511 -10.1584
Cu Ag
2 5
Direct
0.0668 0.0668 0.0000
0.9332 0.9332 0.0000
0.2116 0.2116 0.0000
0.3638 0.3638 0.0000
0.5000 0.5000 0.0000
0.6362 0.6362 0.0000
0.7884 0.7884 0.0000

---

(2)
Cu2Ag5 GGA-PBE optimized geometry; SG = No. 139
1.0
-1.4421 1.4421 13.6324
1.4421 -1.4421 13.6324
1.4421 1.4421 -13.6324
Cu Ag
2 5
Direct
0.1439 0.1439 0.0000
0.8561 0.8561 0.0000
0.0000 0.0000 0.0000
0.2894 0.2894 0.0000
0.4223 0.4223 0.0000
0.5777 0.5777 0.0000
0.7106 0.7106 0.0000

---

In meV/atom, relative to the most stable structure: (1) 15; (2) 0.

---

(1)
Cu2Ag5 GGA-PBE optimized geometry; SG = No. 71
1.0
-1.4362 1.9611 10.0935
1.4362 -1.9611 10.0935
1.4362 1.9611 -10.0935
Cu Ag
2 5
Direct
0.1437 0.1437 0.0000
0.8563 0.8563 0.0000
0.0000 0.0000 0.0000
0.2872 0.2872 0.0000
0.4245 0.4245 0.0000
0.5755 0.5755 0.0000
0.7128 0.7128 0.0000

---

(2)
Cu2Ag5 GGA-PBE optimized geometry; SG = No. 12
1.0
4.7526 -1.4380 0.0000
4.7526 1.4380 0.0000
-0.5170 0.0000 8.2688
Cu Ag
2 5
Direct
0.1604 0.1604 0.0690
0.8396 0.8396 0.9310
0.0000 0.0000 0.5000
0.2789 0.2789 0.6548
0.4427 0.4427 0.1869
0.5573 0.5573 0.8131
0.7211 0.7211 0.3452

---

In meV/atom, relative to the most stable structure: (1) 23; (2) 0.

---

(1)
CuAg5 GGA-PBE optimized geometry; SG = No. 47
1.0
2.9006 0.0000 0.0000
0.0000 4.0524 0.0000
0.0000 0.0000 8.6544
Cu Ag
1 5
Direct
0.0000 0.0000 0.0000
0.0000 0.0000 0.3265
0.0000 0.0000 0.6735
0.5000 0.5000 0.1577
0.5000 0.5000 0.5000
0.5000 0.5000 0.8423

---

(2)
CuAg5 GGA-PBE optimized geometry; SG = No. 123
1.0
2.8934 0.0000 0.0000
0.0000 2.8934 0.0000
0.0000 0.0000 12.0876
Cu Ag
1 5
Direct
0.0000 0.0000 0.0000
0.0000 0.0000 0.3246
0.0000 0.0000 0.6754
0.5000 0.5000 0.1488
0.5000 0.5000 0.5000
0.5000 0.5000 0.8512

---

In meV/atom, relative to the most stable structure: (1) 15; (2) 0.

---

(1)
CuAg5 GGA-PBE optimized geometry; SG = No. 10
1.0
5.0030 0.0000 0.0000
0.0000 2.9041 0.0000
-0.0498 0.0000 7.0271
Cu Ag
1 5
Direct
0.0000 0.0000 0.0000
0.1621 0.5000 0.3216
0.3296 0.0000 0.6679
0.5000 0.5000 0.0000
0.6704 0.0000 0.3321
0.8379 0.5000 0.6784

---

(2)
CuAg5 GGA-PBE optimized geometry; SG = No. 164
1.0
2.8940 0.0000 0.0000
-1.4470 2.5063 0.0000
0.0000 0.0000 14.0311
Cu Ag
1 5
Direct
0.0000 0.0000 0.0000
0.0000 0.0000 0.5000
0.3333 0.6667 0.3271
0.3333 0.6667 0.8464
0.6667 0.3333 0.1536
0.6667 0.3333 0.6729

---

In meV/atom, relative to the most stable structure: (1) 5; (2) 0.